First-principles (PBE) data for a relaxed structure of CdAg2PbBr, as listed in Alexandria.

```
CdAg2PbBr
1.0
5.483 0.000 0.000
0.000 5.483 0.000
0.000 0.000 5.866
Cd Ag Pb Br
1 2 1 1
direct
0.000 0.000 0.000 Cd
0.000 0.500 0.500 Ag
0.500 0.000 0.500 Ag
0.500 0.500 0.500 Pb
0.500 0.500 0.000 Br
```

First-principles (PBE) data for a relaxed structure of CdAg2PbBr6, as listed in Alexandria.

```
CdAg2PbBr6
1.0
6.697 -6.519 0.000
6.697 6.519 0.000
-1.345 0.000 7.445
Cd Ag Pb Br
2 4 2 12
direct
0.243 0.757 0.750 Cd
0.757 0.243 0.250 Cd
0.030 0.201 0.788 Ag
0.201 0.030 0.288 Ag
0.799 0.970 0.712 Ag
0.970 0.799 0.212 Ag
0.414 0.586 0.250 Pb
0.586 0.414 0.750 Pb
0.032 0.227 0.141 Br
0.132 0.625 0.408 Br
0.227 0.032 0.641 Br
0.281 0.473 0.866 Br
0.375 0.868 0.092 Br
0.473 0.281 0.366 Br
0.527 0.719 0.634 Br
0.625 0.132 0.908 Br
0.719 0.527 0.134 Br
0.773 0.968 0.359 Br
0.868 0.375 0.592 Br
0.968 0.773 0.859 Br
```

First-principles (PBE) data for a relaxed structure of Cd2AgPdBr, as listed in Alexandria.

```
Cd2AgPdBr
1.0
5.647 0.000 0.000
0.000 5.647 0.000
0.000 0.000 4.933
Cd Ag Pd Br
2 1 1 1
direct
0.000 0.500 0.000 Cd
0.500 0.000 0.000 Cd
0.000 0.000 0.500 Ag
0.500 0.500 0.500 Pd
0.000 0.000 0.000 Br
```

First-principles (PBE) data for a relaxed structure of CdAg2PdBr6, as listed in Alexandria.

```
CdAg2PdBr6
1.0
6.697 0.000 0.000
-2.012 7.111 0.000
-0.324 -3.901 6.595
Cd Ag Pd Br
1 2 1 6
direct
0.000 0.000 0.000 Cd
0.275 0.506 0.488 Ag
0.713 0.371 0.840 Ag
0.505 0.021 0.392 Pd
0.014 0.397 0.107 Br
0.304 0.223 0.633 Br
0.426 0.167 0.177 Br
0.591 0.882 0.611 Br
0.709 0.813 0.154 Br
0.953 0.613 0.688 Br
```

First-principles (PBE) data for a relaxed structure of CdAgPtBr6, as listed in Alexandria.

```
CdAgPtBr6
1.0
6.862 0.000 0.000
-3.431 5.942 0.000
0.000 0.000 12.519
Cd Ag Pt Br
2 2 2 12
direct
0.333 0.667 0.250 Cd
0.667 0.333 0.750 Cd
0.000 0.000 0.000 Ag
0.000 0.000 0.500 Ag
0.333 0.667 0.750 Pt
0.667 0.333 0.250 Pt
0.027 0.362 0.630 Br
0.027 0.665 0.870 Br
0.335 0.362 0.870 Br
0.335 0.973 0.630 Br
0.362 0.027 0.130 Br
0.362 0.335 0.370 Br
0.638 0.665 0.630 Br
0.638 0.973 0.870 Br
0.665 0.027 0.370 Br
0.665 0.638 0.130 Br
0.973 0.335 0.130 Br
0.973 0.638 0.370 Br
```

First-principles (PBE) data for a relaxed structure of CdAgPt2Br, as listed in Alexandria.

```
CdAgPt2Br
1.0
4.778 0.000 0.000
0.000 4.778 0.000
0.000 0.000 5.493
Cd Ag Pt Br
1 1 2 1
direct
0.000 0.000 0.000 Cd
0.500 0.500 0.000 Ag
0.000 0.500 0.500 Pt
0.500 0.000 0.500 Pt
0.000 0.000 0.500 Br
```

It is found that the formation energy from raw total energies values, taken in the order of the records, are 319.3, -651.9, 786.5, -433.2, -395.4, 983.5 meV/atom.
It is found that the density values, taken in the order of the records, are 5793, 5184, 5480, 4832, 5822, 9143 kg/m³.